Compound: CsCaHf3
Source: Alexandria
Functional: PBE-GGA
Structure: relaxed

```
data_CsCaHf3
_chemical_formula_sum 'Cs1 Ca1 Hf3'
_cell_length_a 5.5218
_cell_length_b 5.5218
_cell_length_c 5.5218
_cell_angle_alpha 90.00
_cell_angle_beta 90.00
_cell_angle_gamma 90.00
_symmetry_space_group_name_H-M 'P m -3 m'
_symmetry_Int_Tables_number 221
_symmetry_space_group_name_Hall '-P 4 2 3'
loop_
_atom_site_label
_atom_site_fract_x
_atom_site_fract_y
_atom_site_fract_z
Cs1 0.0000 0.0000 0.0000
Ca1 0.5000 0.5000 0.5000
Hf1 0.0000 0.5000 0.5000
```

Results
Energy of formation in eV per atom: 1.964
Calculated density in g/cm3: 7.0
Total magnetic moment in μB per atom: 0.308
Energy relative to the lowest polymorph listed for this composition in meV/atom: 48.5



Compound: CsCaHf3
Source: Alexandria
Functional: PBE-GGA
Structure: relaxed

```
data_CsCaHf3
_chemical_formula_sum 'Cs1 Ca1 Hf3'
_cell_length_a 5.3574
_cell_length_b 5.3574
_cell_length_c 5.3574
_cell_angle_alpha 90.00
_cell_angle_beta 90.00
_cell_angle_gamma 90.00
_symmetry_space_group_name_H-M 'P m -3 m'
_symmetry_Int_Tables_number 221
_symmetry_space_group_name_Hall '-P 4 2 3'
loop_
_atom_site_label
_atom_site_fract_x
_atom_site_fract_y
_atom_site_fract_z
Cs1 0.0000 0.0000 0.0000
Ca1 0.5000 0.5000 0.5000
Hf1 0.0000 0.0000 0.5000
```

Results
Energy of formation in eV per atom: 1.915
Calculated density in g/cm3: 7.7
Total magnetic moment in μB per atom: 0.000
Energy relative to the lowest polymorph listed for this composition in meV/atom: 0.0



Compound: CsCaHf2
Source: Alexandria
Functional: PBE-GGA
Structure: relaxed

```
data_CsCaHf2
_chemical_formula_sum 'Cs4 Ca4 Hf8'
_cell_length_a 9.1488
_cell_length_b 9.1488
_cell_length_c 6.0749
_cell_angle_alpha 90.00
_cell_angle_beta 90.00
_cell_angle_gamma 90.00
_symmetry_space_group_name_H-M 'I -4 2 d'
_symmetry_Int_Tables_number 122
_symmetry_space_group_name_Hall 'I -4 2bw'
loop_
_atom_site_label
_atom_site_fract_x
_atom_site_fract_y
_atom_site_fract_z
Cs1 0.0000 0.0000 0.0000
Ca1 0.0000 0.0000 0.5000
Hf1 0.2372 0.2500 0.1250
```

Results
Energy of formation in eV per atom: 1.482
Calculated density in g/cm3: 6.9
Total magnetic moment in μB per atom: 0.000
Energy relative to the lowest polymorph listed for this composition in meV/atom: 27.7



Compound: CsCaHf2
Source: Alexandria
Functional: PBE-GGA
Structure: relaxed

```
data_CsCaHf2
_chemical_formula_sum 'Cs4 Ca4 Hf8'
_cell_length_a 7.9182
_cell_length_b 7.9182
_cell_length_c 7.9182
_cell_angle_alpha 90.00
_cell_angle_beta 90.00
_cell_angle_gamma 90.00
_symmetry_space_group_name_H-M 'F m -3 m'
_symmetry_Int_Tables_number 225
_symmetry_space_group_name_Hall '-F 4 2 3'
loop_
_atom_site_label
_atom_site_fract_x
_atom_site_fract_y
_atom_site_fract_z
Cs1 0.0000 0.0000 0.0000
Ca1 0.0000 0.0000 0.5000
Hf1 0.2500 0.2500 0.2500
```

Results
Energy of formation in eV per atom: 1.454
Calculated density in g/cm3: 7.1
Total magnetic moment in μB per atom: 0.000
Energy relative to the lowest polymorph listed for this composition in meV/atom: 0.0



Compound: Cs2CaHfI6
Source: Alexandria
Functional: PBE-GGA
Structure: relaxed

```
data_Cs2CaHfI6
_chemical_formula_sum 'Cs8 Ca4 Hf4 I24'
_cell_length_a 12.0860
_cell_length_b 12.0860
_cell_length_c 12.0860
_cell_angle_alpha 90.00
_cell_angle_beta 90.00
_cell_angle_gamma 90.00
_symmetry_space_group_name_H-M 'F m -3 m'
_symmetry_Int_Tables_number 225
_symmetry_space_group_name_Hall '-F 4 2 3'
loop_
_atom_site_label
_atom_site_fract_x
_atom_site_fract_y
_atom_site_fract_z
Cs1 0.2500 0.2500 0.2500
Ca1 0.0000 0.0000 0.0000
Hf1 0.0000 0.0000 0.5000
I1 0.0000 0.0000 0.2573
```

Results
E_form (uncorrected) in eV/atom: -1.1434
Calculated density in g/cm3: 4.7
Total magnetic moment in μB per atom: 0.200



Compound: CsCaHf2Ir
Source: Alexandria
Functional: PBE-GGA
Structure: relaxed

```
data_CsCaHf2Ir
_chemical_formula_sum 'Cs1 Ca1 Hf2 Ir1'
_cell_length_a 5.1449
_cell_length_b 5.1449
_cell_length_c 5.4366
_cell_angle_alpha 90.00
_cell_angle_beta 90.00
_cell_angle_gamma 90.00
_symmetry_space_group_name_H-M 'P 4/m m m'
_symmetry_Int_Tables_number 123
_symmetry_space_group_name_Hall '-P 4 2'
loop_
_atom_site_label
_atom_site_fract_x
_atom_site_fract_y
_atom_site_fract_z
Cs1 0.0000 0.0000 0.0000
Ca1 0.0000 0.0000 0.5000
Hf1 0.0000 0.5000 0.5000
Ir1 0.5000 0.5000 0.0000
```

Results
Energy of formation in eV per atom: 2.355
Calculated density in g/cm3: 8.3
Total magnetic moment in μB per atom: 0.000



Compound: CsCaHf2Pb
Source: Alexandria
Functional: PBE-GGA
Structure: relaxed

```
data_CsCaHf2Pb
_chemical_formula_sum 'Cs1 Ca1 Hf2 Pb1'
_cell_length_a 5.5228
_cell_length_b 5.5228
_cell_length_c 5.8832
_cell_angle_alpha 90.00
_cell_angle_beta 90.00
_cell_angle_gamma 90.00
_symmetry_space_group_name_H-M 'P 4/m m m'
_symmetry_Int_Tables_number 123
_symmetry_space_group_name_Hall '-P 4 2'
loop_
_atom_site_label
_atom_site_fract_x
_atom_site_fract_y
_atom_site_fract_z
Cs1 0.0000 0.0000 0.0000
Ca1 0.0000 0.0000 0.5000
Hf1 0.0000 0.5000 0.5000
Pb1 0.5000 0.5000 0.0000
```

Results
Energy of formation in eV per atom: 1.696
Calculated density in g/cm3: 6.8
Total magnetic moment in μB per atom: 0.000



Compound: Cs3Ca2HfS6
Source: Alexandria
Functional: PBE-GGA
Structure: relaxed

```
data_Cs3Ca2HfS6
_chemical_formula_sum 'Cs6 Ca4 Hf2 S12'
_cell_length_a 7.1272
_cell_length_b 12.3411
_cell_length_c 8.2977
_cell_angle_alpha 90.00
_cell_angle_beta 106.61
_cell_angle_gamma 90.00
_symmetry_space_group_name_H-M 'C 1 2/m 1'
_symmetry_Int_Tables_number 12
loop_
_symmetry_equiv_pos_as_xyz
'x,y,z'
'-x,-y,-z'
'-x,y,-z'
'x,-y,z'
'x+1/2,y+1/2,z'
'-x+1/2,-y+1/2,-z'
'-x+1/2,y+1/2,-z'
'x+1/2,-y+1/2,z'
loop_
_atom_site_label
_atom_site_fract_x
_atom_site_fract_y
_atom_site_fract_z
Cs1 0.0000 0.0000 0.0000
Cs2 0.0000 0.3276 0.0000
Ca1 0.0000 0.1659 0.5000
Hf1 0.0000 0.5000 0.5000
S1 0.2115 0.3480 0.6783
S2 0.2425 0.5000 0.3184
```

Results
E_form (uncorrected) in eV/atom: -1.5019
Calculated density in g/cm3: 4.0
Total magnetic moment in μB per atom: 0.000